# 1
Material: TeAsPS2
Method: DFT, PBE
State: relaxed

ΔE_f (raw)	694	meV/atom
total magnetic moment	0.00	μB/atom
energy above the most stable polymorph in this dataset	0.0	meV per atom

Unit cell a=4.653 b=4.653 c=4.990 alpha=90.00 beta=90.00 gamma=90.00
Space group P4/mmm (No. 123)
Asymmetric unit:
Te: 0.000 0.000 0.000
As: 0.500 0.500 0.500
P: 0.500 0.500 0.000
S: 0.000 0.500 0.500

***

# 2
Material: SrCaCrN2
Method: DFT, PBE
State: relaxed

ΔE_f (raw)	1644	meV/atom
total magnetic moment	0.66	μB/atom

Unit cell a=4.600 b=4.600 c=5.537 alpha=90.00 beta=90.00 gamma=90.00
Space group P4/mmm (No. 123)
Asymmetric unit:
Sr: 0.000 0.000 0.000
Ca: 0.000 0.000 0.500
Cr: 0.500 0.500 0.000
N: 0.000 0.500 0.500

***

# 3
Material: Sm2Y3Ni2
Method: DFT, PBE
State: relaxed

total magnetic moment	0.00	μB/atom
energy of formation	-230	meV per atom

Unit cell a=12.299 b=3.622 c=9.090 alpha=90.00 beta=115.98 gamma=90.00
Space group C2/m (No. 12)
Asymmetric unit:
Sm: 0.168 0.000 0.309
Y: 0.000 0.500 0.500
Y: 0.115 0.500 0.930
Ni: 0.172 0.000 0.738

***

# 4
Material: Dy2CdPd3
Method: DFT, PBE
State: relaxed

total magnetic moment	0.00	μB/atom
energy above the most stable polymorph in this dataset	0.0	meV per atom
energy of formation	-773	meV per atom

Unit cell a=7.421 b=3.803 c=17.633 alpha=90.00 beta=90.00 gamma=90.00
Space group Pnma (No. 62)
Asymmetric unit:
Dy: 0.107 0.250 0.212
Dy: 0.153 0.250 0.427
Cd: 0.014 0.750 0.064
Pd: 0.084 0.250 0.659
Pd: 0.205 0.250 0.810
Pd: 0.220 0.750 0.552

***

# 5
Material: LaTmSi3
Method: DFT, PBE
State: relaxed

ΔE_f (raw)	-721	meV/atom
total magnetic moment	0.00	μB/atom

Unit cell a=4.333 b=24.608 c=3.963 alpha=90.00 beta=90.00 gamma=90.00
Space group Cmcm (No. 63)
Asymmetric unit:
La: 0.000 0.072 0.250
Tm: 0.000 0.203 0.750
Si: 0.000 0.319 0.750
Si: 0.000 0.378 0.250
Si: 0.000 0.474 0.250

***

# 6
Material: CsIrPd2
Method: DFT, PBE
State: relaxed

total magnetic moment	0.31	μB/atom
energy above the most stable polymorph in this dataset	416.9	meV per atom
energy of formation	1050	meV per atom

Unit cell a=6.884 b=6.884 c=6.884 alpha=90.00 beta=90.00 gamma=90.00
Space group Fm-3m (No. 225)
Asymmetric unit:
Cs: 0.000 0.000 0.000
Ir: 0.000 0.000 0.500
Pd: 0.250 0.250 0.250

***

Question: Which value of total magnetic moment does entry 2 give?
Answer: 0.66 μB/atom